Compound: LiSiTc2
Source: Alexandria
Functional: GGA-PBE
Structure: optimized geometry

Calculated values
ΔE_f (raw): 0.11 eV/f.u.
raw total energy: -6.989 eV/atom

a b c (Å): 4.1794 4.1794 2.9410
angles (deg): 90.00 90.00 90.00
Space group P4/mmm (No. 123)
Symmetry-distinct sites (fractional):
Li: 0.0000 0.0000 0.0000 (multiplicity 1)
Si: 0.5000 0.5000 0.0000 (multiplicity 1)
Tc: 0.0000 0.5000 0.5000 (multiplicity 2)